VASP calculation (PBE) on crystalline Zr2CoPt at its relaxed geometry.

Computed properties:
* D(E_F): 3.28 states/eV/cell
* electronic total energy: -8.25 eV/atom
* ΔE_f: -2.8 eV per formula unit
* mass density: 10.04 g cm⁻³

Cell and atoms, written as extended XYZ:
```
4
Lattice="4.168 0.000 0.000 0.000 3.412 -0.011 0.000 1.720 5.070" Properties=species:S:1:pos:R:3 pbc="T T T"
Zr 2.084 1.497 1.749
Zr 0.000 4.919 4.683
Pt 2.084 3.210 4.010
Co 0.000 3.206 2.205
```